No. 1
Material: BiHN2F
Method: DFT, PBE
State: relaxed

extended XYZ file:
```
5
Lattice="4.584 0.000 0.000 0.000 4.584 0.000 0.000 0.000 4.562" Properties=species:S:1:pos:R:3 pbc="T T T"
H 2.292 2.292 2.281
N 0.000 2.292 0.000
N 2.292 0.000 0.000
Bi 0.000 0.000 0.000
F 0.000 0.000 2.281
```

Values from the calculation:
M_tot, μB/f.u.: 4.2
Theoretical density, Mg/m³: 4.45
Relative energy among the computed polymorphs, meV/atom: 417.1
SG: P4/mmm

---

No. 2
Material: BiHN2F
Method: DFT, PBE
State: relaxed

extended XYZ file:
```
5
Lattice="-0.250 3.374 0.475 -1.462 -0.536 3.041 3.825 0.025 1.843" Properties=species:S:1:pos:R:3 pbc="T T T"
H 0.000 0.000 0.000
N -0.731 -0.268 1.520
N -0.125 1.687 0.237
Bi 1.057 1.431 2.679
F 1.913 0.012 0.922
```

Values from the calculation:
M_tot, μB/f.u.: 0.0
Theoretical density, Mg/m³: 8.61
Relative energy among the computed polymorphs, meV/atom: 0.0
SG: P4/mmm

---

No. 3
Material: BiH6N2F
Method: DFT, PBE
State: relaxed

extended XYZ file:
```
20
Lattice="6.027 0.540 -0.005 -0.202 6.047 -0.005 -1.664 -1.882 6.173" Properties=species:S:1:pos:R:3 pbc="T T T"
Bi -0.392 5.377 1.538
Bi 4.553 -0.672 4.625
H 5.262 2.971 1.709
H 2.688 0.060 1.367
H -1.102 1.734 4.454
H 1.473 4.646 4.796
H 0.836 2.604 1.318
H 2.510 4.498 1.758
H 3.325 2.101 4.844
H 1.650 0.208 4.405
H 0.331 2.874 2.916
H 2.181 4.966 0.160
H 3.829 1.831 3.246
H 1.980 -0.260 6.003
N 2.115 -0.488 4.995
N 4.072 1.725 4.254
N 2.045 5.194 1.168
N 0.088 2.981 1.908
F 3.799 1.671 1.538
F 0.362 3.034 4.625
```

Values from the calculation:
M_tot, μB/f.u.: 0.0
Theoretical density, Mg/m³: 3.86
SG: C2/c
Uncorrected energy, eV per atom: -4.7906